# 1
BaMg3Pd2 | GGA-PBE | relaxed

a = 11.1736 Å, b = 8.6966 Å, c = 5.8725 Å
α = 90.00°, β = 90.00°, γ = 90.00°
Space group Cmcm (No. 63)
One atom of each set of equivalent atoms:
Ba 0.0000 0.1493 0.2500
Mg 0.0000 0.4507 0.7500
Mg 0.1998 0.2261 0.7500
Pd 0.2024 0.5000 0.0000


# 2
BaMg3Pd | GGA-PBE | relaxed

The polymorph energy (0 for the lowest one) is 0.0000 eV per atom.

a = 5.1970 Å, b = 5.1970 Å, c = 5.1970 Å
α = 90.00°, β = 90.00°, γ = 90.00°
Space group Pm-3m (No. 221)
One atom of each set of equivalent atoms:
Ba 0.0000 0.0000 0.0000
Mg 0.0000 0.5000 0.5000
Pd 0.5000 0.5000 0.5000


# 3
BaMg11Pd | GGA-PBE | relaxed

a = 5.7091 Å, b = 14.7187 Å, c = 7.9055 Å
α = 90.00°, β = 109.03°, γ = 90.00°
Space group C2/m (No. 12)
One atom of each set of equivalent atoms:
Ba 0.0000 0.0000 0.0000
Mg 0.0000 0.0000 0.5000
Mg 0.0989 0.3938 0.2328
Mg 0.1821 0.1724 0.3631
Mg 0.2500 0.2500 0.0000
Pd 0.0000 0.5000 0.5000


# 4
BaMgPd3 | GGA-PBE | relaxed

The polymorph energy (0 for the lowest one) is 0.2029 eV per atom.

a = 4.9004 Å, b = 4.9004 Å, c = 4.9004 Å
α = 90.00°, β = 90.00°, γ = 90.00°
Space group Pm-3m (No. 221)
One atom of each set of equivalent atoms:
Ba 0.0000 0.0000 0.0000
Mg 0.5000 0.5000 0.5000
Pd 0.0000 0.5000 0.5000


# 5
BaMgPd3 | GGA-PBE | relaxed

The polymorph energy (0 for the lowest one) is 1.2682 eV per atom.

a = 5.3802 Å, b = 5.3802 Å, c = 5.3802 Å
α = 90.00°, β = 90.00°, γ = 90.00°
Space group Pm-3m (No. 221)
One atom of each set of equivalent atoms:
Ba 0.0000 0.0000 0.0000
Mg 0.5000 0.5000 0.5000
Pd 0.0000 0.0000 0.5000


# 6
Ba2MgPd2 | GGA-PBE | relaxed

a = 4.5844 Å, b = 4.5844 Å, c = 29.9378 Å
α = 90.00°, β = 90.00°, γ = 120.00°
Space group R-3m (No. 166, hexagonal axes)
One atom of each set of equivalent atoms:
Ba 0.0000 0.0000 0.0785
Mg 0.0000 0.0000 0.5000
Pd 0.0000 0.0000 0.1893


# 7
Ba3Mg2Pd4 | GGA-PBE | relaxed

a = 11.7349 Å, b = 4.5936 Å, c = 9.3770 Å
α = 90.00°, β = 100.62°, γ = 90.00°
Space group C2/m (No. 12)
One atom of each set of equivalent atoms:
Ba 0.0000 0.0000 0.0000
Ba 0.1218 0.5000 0.3839
Mg 0.1799 0.5000 0.7946
Pd 0.0914 0.0000 0.6405
Pd 0.2336 0.5000 0.0898


# 8
BaMg2Pd2 | GGA-PBE | relaxed

The polymorph energy (0 for the lowest one) is 0.0887 eV per atom.

a = 4.8877 Å, b = 4.8877 Å, c = 10.5021 Å
α = 90.00°, β = 90.00°, γ = 90.00°
Space group I4/mmm (No. 139)
One atom of each set of equivalent atoms:
Ba 0.0000 0.0000 0.0000
Mg 0.0000 0.0000 0.3463
Pd 0.0000 0.5000 0.2500


# 9
BaMg4Pd2 | GGA-PBE | relaxed

a = 8.4591 Å, b = 8.4591 Å, c = 4.5330 Å
α = 90.00°, β = 90.00°, γ = 90.00°
Space group P4_2/mnm (No. 136)
One atom of each set of equivalent atoms:
Ba 0.0000 0.0000 0.0000
Mg 0.0887 0.3400 0.5000
Pd 0.2283 0.7717 0.5000


# 10
Ba2MgPd2 | GGA-PBE | relaxed

a = 3.9934 Å, b = 3.9934 Å, c = 20.6071 Å
α = 90.00°, β = 90.00°, γ = 90.00°
Space group I4/mmm (No. 139)
One atom of each set of equivalent atoms:
Ba 0.0000 0.0000 0.1310
Mg 0.0000 0.0000 0.5000
Pd 0.0000 0.5000 0.2500


# 11
Ba6MgPd | GGA-PBE | relaxed

a = 4.5400 Å, b = 12.6199 Å, c = 14.4060 Å
α = 90.00°, β = 90.00°, γ = 90.00°
Space group Amm2 (No. 38)
One atom of each set of equivalent atoms:
Ba 0.0000 0.0000 0.0000
Ba 0.0000 0.1615 0.7205
Ba 0.5000 0.0000 0.2608
Ba 0.5000 0.2210 0.4804
Mg 0.0000 0.0000 0.4950
Pd 0.5000 0.0000 0.5992


# 12
BaMg3Pd3 | GGA-PBE | relaxed

a = 7.1834 Å, b = 7.1834 Å, c = 7.1834 Å
α = 90.00°, β = 90.00°, γ = 90.00°
Space group Pm-3n (No. 223)
One atom of each set of equivalent atoms:
Ba 0.0000 0.0000 0.0000
Mg 0.0000 0.2500 0.5000
Pd 0.0000 0.5000 0.2500


# 13
BaMgPd3 | GGA-PBE | relaxed

The polymorph energy (0 for the lowest one) is 0.0000 eV per atom.

a = 6.4146 Å, b = 6.4146 Å, c = 6.2932 Å
α = 90.00°, β = 90.00°, γ = 120.00°
Space group P6_3/mmc (No. 194)
One atom of each set of equivalent atoms:
Ba 0.3333 0.6667 0.2500
Mg 0.0000 0.0000 0.0000
Pd 0.1899 0.3798 0.7500


# 14
Ba4Mg2Pd | GGA-PBE | relaxed

a = 6.1181 Å, b = 6.1181 Å, c = 18.5484 Å
α = 90.00°, β = 90.00°, γ = 90.00°
Space group I4/mmm (No. 139)
One atom of each set of equivalent atoms:
Ba 0.0000 0.0000 0.1761
Ba 0.0000 0.5000 0.0000
Mg 0.0000 0.0000 0.3781
Pd 0.0000 0.0000 0.0000


# 15
BaMg3Pd | GGA-PBE | relaxed

The polymorph energy (0 for the lowest one) is 1.6951 eV per atom.

a = 6.3875 Å, b = 6.3875 Å, c = 6.3875 Å
α = 90.00°, β = 90.00°, γ = 90.00°
Space group Pm-3m (No. 221)
One atom of each set of equivalent atoms:
Ba 0.0000 0.0000 0.0000
Mg 0.0000 0.0000 0.5000
Pd 0.5000 0.5000 0.5000


# 16
Ba2MgPd2 | GGA-PBE | relaxed

a = 6.2931 Å, b = 6.2931 Å, c = 8.1535 Å
α = 90.00°, β = 90.00°, γ = 90.00°
Space group I4/mmm (No. 139)
One atom of each set of equivalent atoms:
Ba 0.0000 0.5000 0.2500
Mg 0.0000 0.0000 0.0000
Pd 0.0000 0.0000 0.3299


# 17
BaMgPd2 | GGA-PBE | relaxed

a = 3.4864 Å, b = 3.4864 Å, c = 7.3684 Å
α = 90.00°, β = 90.00°, γ = 90.00°
Space group P4/mmm (No. 123)
One atom of each set of equivalent atoms:
Ba 0.0000 0.0000 0.0000
Mg 0.0000 0.0000 0.5000
Pd 0.5000 0.5000 0.3105


# 18
Ba2Mg4Pd | GGA-PBE | relaxed

a = 5.1468 Å, b = 5.1468 Å, c = 18.8550 Å
α = 90.00°, β = 90.00°, γ = 90.00°
Space group I4/mmm (No. 139)
One atom of each set of equivalent atoms:
Ba 0.0000 0.0000 0.1646
Mg 0.0000 0.0000 0.3661
Mg 0.0000 0.5000 0.0000
Pd 0.0000 0.0000 0.5000


# 19
BaMg9Pd2 | GGA-PBE | relaxed

a = 11.8858 Å, b = 11.8858 Å, c = 7.8391 Å
α = 90.00°, β = 90.00°, γ = 90.00°
Space group I4_1/amd (No. 141, origin choice 2)
One atom of each set of equivalent atoms:
Ba 0.0000 0.2500 0.3750
Mg 0.0000 0.2500 0.8750
Mg 0.1237 0.0507 0.6971
Pd 0.0000 0.0000 0.0000


# 20
BaMg2Pd2 | GGA-PBE | relaxed

The polymorph energy (0 for the lowest one) is 0.0000 eV per atom.

a = 4.4677 Å, b = 4.4677 Å, c = 11.9852 Å
α = 90.00°, β = 90.00°, γ = 90.00°
Space group I4/mmm (No. 139)
One atom of each set of equivalent atoms:
Ba 0.0000 0.0000 0.0000
Mg 0.0000 0.5000 0.2500
Pd 0.0000 0.0000 0.3821


# 21
Ba2MgPd2 | GGA-PBE | relaxed

a = 12.9923 Å, b = 4.5456 Å, c = 11.7317 Å
α = 90.00°, β = 120.62°, γ = 90.00°
Space group C2/m (No. 12)
One atom of each set of equivalent atoms:
Ba 0.0140 0.0000 0.1798
Ba 0.1766 0.0000 0.6101
Mg 0.2230 0.5000 0.8865
Pd 0.0075 0.5000 0.6268
Pd 0.1340 0.5000 0.0577


# 22
BaMg2Pd2 | GGA-PBE | relaxed

The polymorph energy (0 for the lowest one) is 0.1453 eV per atom.

a = 8.2729 Å, b = 8.2729 Å, c = 3.1381 Å
α = 90.00°, β = 90.00°, γ = 90.00°
Space group P4/mbm (No. 127)
One atom of each set of equivalent atoms:
Ba 0.0000 0.0000 0.0000
Mg 0.1225 0.3775 0.0000
Pd 0.1663 0.6663 0.5000


# 23
BaMgPd2 | GGA-PBE | relaxed

a = 4.5561 Å, b = 7.3025 Å, c = 6.1946 Å
α = 90.00°, β = 90.00°, γ = 90.00°
Space group Pmmn (No. 59, origin choice 2)
One atom of each set of equivalent atoms:
Ba 0.2500 0.2500 0.1438
Mg 0.2500 0.7500 0.3806
Pd 0.2500 0.0546 0.6302


Energy relative to the elements for every record listed, in sequence, given in eV per formula unit: -2.90 -1.62 -2.01 -1.16 4.17 -2.53 -4.86 -2.37 -3.30 -0.76 -1.00 -1.99 -2.17 -0.48 6.85 -1.62 -1.84 -1.11 -3.73 -2.81 -2.57 -2.08 -2.30.